#one
{"formula": "CePm2Sm", "functional": "GGA-PBE", "state": "optimized geometry", "cell": [[-3.140, -0.656, 1.648], [-0.121, -0.312, 3.591], [-3.012, 11.263, 2.690]], "species": ["Ce", "Pm", "Pm", "Sm"], "fractional_positions": [[0.500, 0.500, 0.499], [0.084, 0.084, 0.748], [0.249, 0.249, 0.253], [0.667, 0.667, 0.000]]}

---

#two
{"formula": "CePm2Sm", "functional": "GGA-PBE", "state": "optimized geometry", "cell": [[-4.744, -2.622, -1.963], [-0.736, -5.652, 0.863], [-4.012, -1.852, 3.703]], "species": ["Ce", "Sm", "Pm", "Pm"], "fractional_positions": [[0.000, 0.000, 0.000], [0.500, 0.500, 0.500], [0.250, 0.250, 0.250], [0.750, 0.750, 0.750]]}

---

Most stable = #one